DFT (PBE with a Hubbard U) results for a geometry-optimized AcMnBi2O8 structure.

The space group is P-3 (No. 147) and the conventional cell measures 5.3748, 5.3748 and 6.8346 Å, with angles of 90.00, 90.00 and 120.00 degrees. The distinct sites, in fractional coordinates, are Ac at (0.0000, 0.0000, 0.0000), Mn at (0.0000, 0.0000, 0.5000), Bi at (0.3333, 0.6667, 0.3601), O at (0.0665, 0.3160, 0.6574) and O at (0.3333, 0.6667, 0.0610).

The density of states at the Fermi level comes out at 4.1 states/eV/cell. The energy comes out at -75.16 eV per cell.